No. 1
First-principles (GGA+U) data for a relaxed structure of Ba4Pr4Co8O23, as listed in Alexandria.

a b c (Å): 7.9887 7.9887 7.5861
angles (deg): 90.00 90.00 90.00
Closest atoms and distances in Å follow each position.
Fractional positions:
Ba (0.2539, 0.2539, 0.0000)  12 O 2.78-2.98
Ba (0.7461, 0.7461, 0.0000)  12 O 2.78-2.98
Ba (0.2539, 0.7461, 0.0000)  12 O 2.78-2.98
Ba (0.7461, 0.2539, 0.0000)  12 O 2.78-2.98
Pr (0.2444, 0.2444, 0.5000)  11 O 2.58-2.83
Pr (0.7556, 0.7556, 0.5000)  11 O 2.58-2.83
Pr (0.2444, 0.7556, 0.5000)  11 O 2.58-2.83
Pr (0.7556, 0.2444, 0.5000)  11 O 2.58-2.83
Co (0.5000, 0.5000, 0.7423)  5 O 1.88-1.96
Co (0.5000, 0.5000, 0.2577)  5 O 1.88-1.96
Co (0.0000, 0.0000, 0.7507)  6 O 1.89-2.02
Co (0.0000, 0.0000, 0.2493)  6 O 1.89-2.02
Co (0.0000, 0.5000, 0.7473)  4 O 1.88-1.99
Co (0.5000, 0.0000, 0.7473)  4 O 1.88-1.99
Co (0.0000, 0.5000, 0.2527)  4 O 1.88-1.99
Co (0.5000, 0.0000, 0.2527)  4 O 1.88-1.99
O (0.2518, 0.0000, 0.7311)  2 Co 1.99-2.02
O (0.7482, 0.0000, 0.7311)  2 Co 1.99-2.02
O (0.0000, 0.7482, 0.7311)  2 Co 1.99-2.02
O (0.0000, 0.2518, 0.7311)  2 Co 1.99-2.02
O (0.7482, 0.0000, 0.2689)  2 Co 1.99-2.02
O (0.2518, 0.0000, 0.2689)  2 Co 1.99-2.02
O (0.0000, 0.2518, 0.2689)  2 Co 1.99-2.02
O (0.0000, 0.7482, 0.2689)  2 Co 1.99-2.02
O (0.0000, 0.5000, 0.5000)  2 Co 1.88
O (0.5000, 0.0000, 0.5000)  2 Co 1.88
O (0.0000, 0.5000, 0.0000)  2 Co 1.92
O (0.5000, 0.0000, 0.0000)  2 Co 1.92
O (0.0000, 0.0000, 0.0000)  2 Co 1.89
O (0.2671, 0.5000, 0.7059)  1 Co 1.88
O (0.7329, 0.5000, 0.7059)  1 Co 1.88
O (0.5000, 0.7329, 0.7059)  1 Co 1.88
O (0.5000, 0.2671, 0.7059)  1 Co 1.88
O (0.7329, 0.5000, 0.2941)  1 Co 1.88
O (0.2671, 0.5000, 0.2941)  1 Co 1.88
O (0.5000, 0.2671, 0.2941)  1 Co 1.88
O (0.5000, 0.7329, 0.2941)  1 Co 1.88
O (0.5000, 0.5000, 0.0000)  2 Co 1.96
O (0.0000, 0.0000, 0.5000)  2 Co 1.90

## Properties
SG = P4/mmm
Crystal system = tetragonal

---

No. 2
First-principles (GGA+U) data for a relaxed structure of BaPr2CoO5, as listed in Alexandria.

a b c (Å): 6.8494 6.8494 7.6246
angles (deg): 116.69 116.69 90.00
Closest atoms and distances in Å follow each position.
Fractional positions:
Ba (0.2500, 0.2500, 0.5000)  10 O 2.94-2.98
Ba (0.7500, 0.7500, 0.5000)  10 O 2.94-2.98
Pr (0.1745, 0.3255, 0.0000)  4 O 2.35-2.53
Pr (0.6745, 0.1745, 0.0000)  4 O 2.35-2.53
Pr (0.3255, 0.8255, 0.0000)  4 O 2.35-2.53
Pr (0.8255, 0.6745, 0.0000)  4 O 2.35-2.53
Co (0.2500, 0.7500, 0.5000)  4 O 1.97
Co (0.7500, 0.2500, 0.5000)  4 O 1.97
O (0.9886, 0.4886, 0.2623)  1 Co 1.97
O (0.7263, 0.2263, 0.7377)  1 Co 1.97
O (0.0114, 0.5114, 0.7377)  1 Co 1.97
O (0.2263, 0.0114, 0.7377)  1 Co 1.97
O (0.5114, 0.7263, 0.7377)  1 Co 1.97
O (0.7737, 0.9886, 0.2623)  1 Co 1.97
O (0.4886, 0.2737, 0.2623)  1 Co 1.97
O (0.2737, 0.7737, 0.2623)  1 Co 1.97
O (0.5000, 0.5000, 0.0000)  4 Pr 2.53
O (0.0000, 0.0000, 0.0000)  4 Pr 2.53

## Properties
SG = I4/mcm
Crystal system = tetragonal

---

No. 3
First-principles (GGA+U) data for a relaxed structure of Ba2Pr2Co4O11, as listed in Alexandria.

a b c (Å): 3.9708 7.8001 7.9427
angles (deg): 90.00 90.00 90.00
Closest atoms and distances in Å follow each position.
Fractional positions:
Ba (0.5000, 0.0000, 0.2516)  12 O 2.80-3.12
Ba (0.5000, 0.0000, 0.7484)  12 O 2.80-3.12
Pr (0.5000, 0.5000, 0.2690)  10 O 2.57-2.70
Pr (0.5000, 0.5000, 0.7310)  10 O 2.57-2.70
Co (0.0000, 0.7468, 0.0000)  5 O 1.83-2.03
Co (0.0000, 0.2532, 0.0000)  5 O 1.83-2.03
Co (0.0000, 0.7481, 0.5000)  4 O 1.94-1.99
Co (0.0000, 0.2519, 0.5000)  4 O 1.94-1.99
O (0.5000, 0.6923, 0.0000)  2 Co 2.03
O (0.5000, 0.3077, 0.0000)  2 Co 2.03
O (0.0000, 0.7062, 0.2271)  1 Co 1.83
O (0.0000, 0.7062, 0.7729)  1 Co 1.83
O (0.0000, 0.2938, 0.7729)  1 Co 1.83
O (0.0000, 0.2938, 0.2271)  1 Co 1.83
O (0.0000, 0.0000, 0.0000)  2 Co 1.97
O (0.5000, 0.7304, 0.5000)  2 Co 1.99
O (0.5000, 0.2696, 0.5000)  2 Co 1.99
O (0.0000, 0.0000, 0.5000)  2 Co 1.96
O (0.0000, 0.5000, 0.5000)  2 Co 1.94

## Properties
Energy above the lowest structure with this stoichiometry = 0.7 kJ per mole of atoms
SG = Pmmm
Crystal system = orthorhombic

---

No. 4
First-principles (GGA+U) data for a relaxed structure of BaPrTaCoO6, as listed in Alexandria.

a b c (Å): 5.8278 5.7328 9.9392
angles (deg): 54.70 90.00 90.00
Closest atoms and distances in Å follow each position.
Fractional positions:
Ba (0.2355, 0.2498, 0.2513)  8 O 2.63-2.93
Ba (0.7645, 0.2498, 0.7513)  8 O 2.63-2.93
Pr (0.3001, 0.7321, 0.7520)  6 O 2.43-2.60
Pr (0.6999, 0.7321, 0.2520)  6 O 2.43-2.60
Ta (0.2439, 0.9997, 0.9999)  6 O 1.99-2.03
Ta (0.7561, 0.9997, 0.4999)  6 O 1.99-2.03
Co (0.2454, 0.4971, 0.5005)  6 O 2.12-2.19
Co (0.7546, 0.4971, 0.0005)  6 O 2.12-2.19
O (0.9517, 0.3279, 0.4542)  1 Ta 2.01, 1 Co 2.14
O (0.0483, 0.3279, 0.9542)  1 Ta 2.01, 1 Co 2.14
O (0.5164, 0.7212, 0.5274)  1 Ta 2.02, 1 Co 2.15
O (0.4836, 0.7212, 0.0274)  1 Ta 2.02, 1 Co 2.15
O (0.4990, 0.2687, 0.4656)  1 Ta 2.03, 1 Co 2.13
O (0.5010, 0.2687, 0.9656)  1 Ta 2.03, 1 Co 2.13
O (0.0323, 0.7581, 0.5477)  1 Ta 1.99, 1 Co 2.19
O (0.9677, 0.7581, 0.0477)  1 Ta 1.99, 1 Co 2.19
O (0.7596, 0.1430, 0.2596)  1 Ta 2.03, 1 Co 2.17
O (0.2404, 0.1430, 0.7596)  1 Ta 2.03, 1 Co 2.17
O (0.7203, 0.8023, 0.7418)  1 Ta 1.99, 1 Co 2.12
O (0.2797, 0.8023, 0.2418)  1 Ta 1.99, 1 Co 2.12

## Properties
SG = Pc
Crystal system = monoclinic

---

No. 5
First-principles (GGA+U) data for a relaxed structure of Ba2CoPtO5, as listed in Alexandria.

a b c (Å): 3.4436 8.0220 10.5428
angles (deg): 90.00 90.00 102.39
Closest atoms and distances in Å follow each position.
Fractional positions:
Ba (0.8737, 0.7473, 0.8039)  8 O 2.68-2.93
Ba (0.1158, 0.2317, 0.6901)  5 O 2.68-2.70
Ba (0.1263, 0.2527, 0.3039)  8 O 2.68-2.93
Ba (0.8842, 0.7683, 0.1901)  5 O 2.68-2.70
Co (0.5573, 0.1146, 0.9548)  3 O 1.87-1.95
Co (0.4427, 0.8854, 0.4548)  3 O 1.87-1.95
Pt (0.7853, 0.5707, 0.5150)  6 O 2.08-2.14
Pt (0.2147, 0.4293, 0.0150)  6 O 2.08-2.14
O (0.3468, 0.6937, 0.0004)  1 Pt 2.08
O (0.6988, 0.3976, 0.8971)  2 Pt 2.14, 1 Co 2.30
O (0.5044, 0.0088, 0.7958)  1 Co 1.87
O (0.2823, 0.5647, 0.6332)  2 Pt 2.13
O (0.9180, 0.8359, 0.5336)  2 Co 1.95, 1 Pt 2.09
O (0.6532, 0.3063, 0.5004)  1 Pt 2.08
O (0.3012, 0.6024, 0.3971)  2 Pt 2.14, 1 Co 2.30
O (0.4956, 0.9912, 0.2958)  1 Co 1.87
O (0.7177, 0.4353, 0.1332)  2 Pt 2.13
O (0.0820, 0.1641, 0.0336)  2 Co 1.95, 1 Pt 2.09

## Properties
SG = Cmc2_1
Crystal system = orthorhombic

---

No. 6
First-principles (GGA+U) data for a relaxed structure of Ba2Pu3CoO12, as listed in Alexandria.

a b c (Å): 7.2284 7.2284 7.2284
angles (deg): 65.20 65.20 65.20
Closest atoms and distances in Å follow each position.
Fractional positions:
Ba (0.6557, 0.6557, 0.6557)  6 O 2.83-3.13
Ba (0.3443, 0.3443, 0.3443)  6 O 2.83-3.13
Pu (0.5000, 0.0000, 0.0000)  2 O 1.94
Pu (0.0000, 0.5000, 0.0000)  2 O 1.94
Pu (0.0000, 0.0000, 0.5000)  2 O 1.94
Co (0.0000, 0.0000, 0.0000)  6 O 1.89
O (0.3396, 0.3396, 0.9569)  2 Pu 2.18
O (0.9402, 0.9402, 0.2968)  1 Co 1.89, 1 Pu 1.94
O (0.2968, 0.9402, 0.9402)  1 Co 1.89, 1 Pu 1.94
O (0.9569, 0.3396, 0.3396)  2 Pu 2.18
O (0.9402, 0.2968, 0.9402)  1 Co 1.89, 1 Pu 1.94
O (0.3396, 0.9569, 0.3396)  2 Pu 2.18
O (0.6604, 0.6604, 0.0431)  2 Pu 2.18
O (0.0598, 0.0598, 0.7032)  1 Co 1.89, 1 Pu 1.94
O (0.7032, 0.0598, 0.0598)  1 Co 1.89, 1 Pu 1.94
O (0.0431, 0.6604, 0.6604)  2 Pu 2.18
O (0.0598, 0.7032, 0.0598)  1 Co 1.89, 1 Pu 1.94
O (0.6604, 0.0431, 0.6604)  2 Pu 2.18

## Properties
SG = R-3m
Crystal system = trigonal

---

Going through the records in order, we get final energy values of -6.5520; -7.2458; -6.6013; -8.0226; -5.9857; -8.6095 eV per atom.